# P2OsPb PBEsol relaxed
data_P2OsPb
_chemical_formula_sum 'P4 Os2 Pb2'
_cell_length_a 2.9664
_cell_length_b 5.6444
_cell_length_c 9.3147
_cell_angle_alpha 90.00
_cell_angle_beta 90.00
_cell_angle_gamma 90.00
_space_group_name_H-M_alt 'I m m m'
_space_group_IT_number 71
_space_group_name_Hall '-I 2 2'
loop_
_atom_site_label
_atom_site_type_symbol
_atom_site_fract_x
_atom_site_fract_y
_atom_site_fract_z
_atom_site_occupancy
P1 P 0.0000 0.0000 0.1937 1
Os1 Os 0.0000 0.5000 0.5000 1
Pb1 Pb 0.0000 0.5000 0.0000 1
# ΔH_f (0 K): 0.410 eV/atom
# Calculated total energy: -6.540 eV/atom
# Calculated volume: 156 Å³ per cell

# Mg2CdAs PBEsol relaxed
data_Mg2CdAs
_chemical_formula_sum 'Mg8 Cd4 As4'
_cell_length_a 6.8937
_cell_length_b 6.8937
_cell_length_c 6.8937
_cell_angle_alpha 90.00
_cell_angle_beta 90.00
_cell_angle_gamma 90.00
_space_group_name_H-M_alt 'F m -3 m'
_space_group_IT_number 225
_space_group_name_Hall '-F 4 2 3'
loop_
_atom_site_label
_atom_site_type_symbol
_atom_site_fract_x
_atom_site_fract_y
_atom_site_fract_z
_atom_site_occupancy
Mg1 Mg 0.2500 0.2500 0.2500 1
Cd1 Cd 0.0000 0.0000 0.0000 1
As1 As 0.0000 0.0000 0.5000 1
# ΔH_f (0 K): -0.151 eV/atom
# Calculated total energy: -2.586 eV/atom
# Distance to the lowest polymorph of the same formula: 59 meV/atom
# Calculated volume: 328 Å³ per cell

# ScMn3 PBEsol relaxed
data_ScMn3
_chemical_formula_sum 'Sc1 Mn3'
_cell_length_a 2.6398
_cell_length_b 2.6398
_cell_length_c 8.3136
_cell_angle_alpha 90.00
_cell_angle_beta 90.00
_cell_angle_gamma 120.00
_space_group_name_H-M_alt 'P -6 m 2'
_space_group_IT_number 187
_space_group_name_Hall 'P -6 2'
loop_
_atom_site_label
_atom_site_type_symbol
_atom_site_fract_x
_atom_site_fract_y
_atom_site_fract_z
_atom_site_occupancy
Sc1 Sc 0.0000 0.0000 0.0000 1
Mn1 Mn 0.0000 0.0000 0.5000 1
Mn2 Mn 0.3333 0.6667 0.2802 1
# ΔH_f (0 K): 0.459 eV/atom
# Calculated total energy: -8.513 eV/atom
# Calculated volume: 50 Å³ per cell

# TlI PBEsol relaxed
data_TlI
_chemical_formula_sum 'Tl4 I4'
_cell_length_a 6.8610
_cell_length_b 6.8610
_cell_length_c 6.8610
_cell_angle_alpha 90.00
_cell_angle_beta 90.00
_cell_angle_gamma 90.00
_space_group_name_H-M_alt 'F m -3 m'
_space_group_IT_number 225
_space_group_name_Hall '-F 4 2 3'
loop_
_atom_site_label
_atom_site_type_symbol
_atom_site_fract_x
_atom_site_fract_y
_atom_site_fract_z
_atom_site_occupancy
Tl1 Tl 0.0000 0.0000 0.0000 1
I1 I 0.0000 0.0000 0.5000 1
# Calculated total energy: -2.775 eV/atom
# Distance to the lowest polymorph of the same formula: 3 meV/atom
# Calculated volume: 323 Å³ per cell

# ErOs2 PBEsol relaxed
data_ErOs2
_chemical_formula_sum 'Er4 Os8'
_cell_length_a 5.2303
_cell_length_b 5.2303
_cell_length_c 8.7441
_cell_angle_alpha 90.00
_cell_angle_beta 90.00
_cell_angle_gamma 120.00
_space_group_name_H-M_alt 'P 63/m m c'
_space_group_IT_number 194
_space_group_name_Hall '-P 6c 2c'
loop_
_atom_site_label
_atom_site_type_symbol
_atom_site_fract_x
_atom_site_fract_y
_atom_site_fract_z
_atom_site_occupancy
Er1 Er 0.3333 0.6667 0.0654 1
Os1 Os 0.0000 0.0000 0.0000 1
Os2 Os 0.1715 0.3429 0.7500 1
# ΔH_f (0 K): -0.341 eV/atom
# Calculated total energy: -10.127 eV/atom
# Calculated volume: 207 Å³ per cell

# LiTeOs2 PBEsol relaxed
data_LiTeOs2
_chemical_formula_sum 'Li1 Te1 Os2'
_cell_length_a 2.9102
_cell_length_b 2.9102
_cell_length_c 8.1157
_cell_angle_alpha 90.00
_cell_angle_beta 90.00
_cell_angle_gamma 90.00
_space_group_name_H-M_alt 'P 4 m m'
_space_group_IT_number 99
loop_
_space_group_symop_operation_xyz
'x,y,z'
'-y,x,z'
'-x,-y,z'
'y,-x,z'
'-x,y,z'
'y,x,z'
'x,-y,z'
'-y,-x,z'
loop_
_atom_site_label
_atom_site_type_symbol
_atom_site_fract_x
_atom_site_fract_y
_atom_site_fract_z
_atom_site_occupancy
Li1 Li 0.0000 0.0000 0.0000 1
Te1 Te 0.5000 0.5000 0.6917 1
Os1 Os 0.0000 0.0000 0.4222 1
Os2 Os 0.5000 0.5000 0.2322 1
# Calculated total energy: -7.057 eV/atom
# Calculated volume: 69 Å³ per cell

# Rb2MnPS PBEsol relaxed
data_Rb2MnPS
_chemical_formula_sum 'Rb2 Mn1 P1 S1'
_cell_length_a 6.4989
_cell_length_b 6.4989
_cell_length_c 4.2804
_cell_angle_alpha 90.00
_cell_angle_beta 90.00
_cell_angle_gamma 90.00
_space_group_name_H-M_alt 'P 4/m m m'
_space_group_IT_number 123
_space_group_name_Hall '-P 4 2'
loop_
_atom_site_label
_atom_site_type_symbol
_atom_site_fract_x
_atom_site_fract_y
_atom_site_fract_z
_atom_site_occupancy
Rb1 Rb 0.0000 0.5000 0.0000 1
Mn1 Mn 0.0000 0.0000 0.0000 1
P1 P 0.5000 0.5000 0.5000 1
S1 S 0.0000 0.0000 0.5000 1
# Calculated total energy: -4.080 eV/atom
# Calculated volume: 181 Å³ per cell

# CrNi3 PBEsol relaxed
data_CrNi3
_chemical_formula_sum 'Cr1 Ni3'
_cell_length_a 2.4639
_cell_length_b 2.4639
_cell_length_c 7.9937
_cell_angle_alpha 90.00
_cell_angle_beta 90.00
_cell_angle_gamma 120.00
_space_group_name_H-M_alt 'P -6 m 2'
_space_group_IT_number 187
_space_group_name_Hall 'P -6 2'
loop_
_atom_site_label
_atom_site_type_symbol
_atom_site_fract_x
_atom_site_fract_y
_atom_site_fract_z
_atom_site_occupancy
Cr1 Cr 0.0000 0.0000 0.0000 1
Ni1 Ni 0.0000 0.0000 0.5000 1
Ni2 Ni 0.6667 0.3333 0.2466 1
# ΔH_f (0 K): 0.039 eV/atom
# Calculated total energy: -7.140 eV/atom
# Calculated volume: 42 Å³ per cell

# KEuO2 PBEsol relaxed
data_KEuO2
_chemical_formula_sum 'K3 Eu3 O6'
_cell_length_a 3.5291
_cell_length_b 3.5291
_cell_length_c 18.4608
_cell_angle_alpha 90.00
_cell_angle_beta 90.00
_cell_angle_gamma 120.00
_space_group_name_H-M_alt 'R -3 m'
_space_group_IT_number 166
_space_group_name_Hall '-R 3 2"'
loop_
_atom_site_label
_atom_site_type_symbol
_atom_site_fract_x
_atom_site_fract_y
_atom_site_fract_z
_atom_site_occupancy
K1 K 0.0000 0.0000 0.0000 1
Eu1 Eu 0.0000 0.0000 0.5000 1
O1 O 0.0000 0.0000 0.2302 1
# Calculated total energy: -7.893 eV/atom
# Calculated volume: 199 Å³ per cell

# ScIr2Ru PBEsol relaxed
data_ScIr2Ru
_chemical_formula_sum 'Sc1 Ir2 Ru1'
_cell_length_a 3.8920
_cell_length_b 3.8920
_cell_length_c 3.8790
_cell_angle_alpha 90.00
_cell_angle_beta 90.00
_cell_angle_gamma 90.00
_space_group_name_H-M_alt 'P 4/m m m'
_space_group_IT_number 123
_space_group_name_Hall '-P 4 2'
loop_
_atom_site_label
_atom_site_type_symbol
_atom_site_fract_x
_atom_site_fract_y
_atom_site_fract_z
_atom_site_occupancy
Sc1 Sc 0.0000 0.0000 0.0000 1
Ir1 Ir 0.0000 0.5000 0.5000 1
Ru1 Ru 0.5000 0.5000 0.0000 1
# ΔH_f (0 K): -0.420 eV/atom
# Calculated total energy: -9.527 eV/atom
# Distance to the lowest polymorph of the same formula: 0 meV/atom
# Calculated volume: 59 Å³ per cell

# Sr2CrW PBEsol relaxed
data_Sr2CrW
_chemical_formula_sum 'Sr2 Cr1 W1'
_cell_length_a 3.0705
_cell_length_b 5.1330
_cell_length_c 6.0205
_cell_angle_alpha 90.00
_cell_angle_beta 90.39
_cell_angle_gamma 90.00
_space_group_name_H-M_alt 'P 1 2/m 1'
_space_group_IT_number 10
loop_
_space_group_symop_operation_xyz
'x,y,z'
'-x,-y,-z'
'-x,y,-z'
'x,-y,z'
loop_
_atom_site_label
_atom_site_type_symbol
_atom_site_fract_x
_atom_site_fract_y
_atom_site_fract_z
_atom_site_occupancy
Sr1 Sr 0.0019 0.0000 0.2458 1
Cr1 Cr 0.5000 0.5000 0.5000 1
W1 W 0.5000 0.5000 0.0000 1
# ΔH_f (0 K): 1.444 eV/atom
# Calculated total energy: -5.488 eV/atom
# Calculated volume: 95 Å³ per cell

# BaHfSn2Rh PBEsol relaxed
data_BaHfSn2Rh
_chemical_formula_sum 'Ba1 Hf1 Sn2 Rh1'
_cell_length_a 5.3730
_cell_length_b 5.3730
_cell_length_c 5.7187
_cell_angle_alpha 90.00
_cell_angle_beta 90.00
_cell_angle_gamma 90.00
_space_group_name_H-M_alt 'P 4/m m m'
_space_group_IT_number 123
_space_group_name_Hall '-P 4 2'
loop_
_atom_site_label
_atom_site_type_symbol
_atom_site_fract_x
_atom_site_fract_y
_atom_site_fract_z
_atom_site_occupancy
Ba1 Ba 0.0000 0.0000 0.0000 1
Hf1 Hf 0.0000 0.0000 0.5000 1
Sn1 Sn 0.0000 0.5000 0.5000 1
Rh1 Rh 0.5000 0.5000 0.0000 1
# ΔH_f (0 K): 1.071 eV/atom
# Calculated total energy: -4.791 eV/atom
# Calculated volume: 165 Å³ per cell

# CaTl2Sn PBEsol relaxed
data_CaTl2Sn
_chemical_formula_sum 'Ca4 Tl8 Sn4'
_cell_length_a 7.5932
_cell_length_b 7.5932
_cell_length_c 7.5932
_cell_angle_alpha 90.00
_cell_angle_beta 90.00
_cell_angle_gamma 90.00
_space_group_name_H-M_alt 'F m -3 m'
_space_group_IT_number 225
_space_group_name_Hall '-F 4 2 3'
loop_
_atom_site_label
_atom_site_type_symbol
_atom_site_fract_x
_atom_site_fract_y
_atom_site_fract_z
_atom_site_occupancy
Ca1 Ca 0.0000 0.0000 0.0000 1
Tl1 Tl 0.2500 0.2500 0.2500 1
Sn1 Sn 0.0000 0.0000 0.5000 1
# ΔH_f (0 K): -0.277 eV/atom
# Calculated total energy: -3.190 eV/atom
# Calculated volume: 438 Å³ per cell

# TlCd2SCl PBEsol relaxed
data_TlCd2SCl
_chemical_formula_sum 'Tl1 Cd2 S1 Cl1'
_cell_length_a 4.8797
_cell_length_b 4.8797
_cell_length_c 6.9178
_cell_angle_alpha 90.00
_cell_angle_beta 90.00
_cell_angle_gamma 90.00
_space_group_name_H-M_alt 'P 4/m m m'
_space_group_IT_number 123
_space_group_name_Hall '-P 4 2'
loop_
_atom_site_label
_atom_site_type_symbol
_atom_site_fract_x
_atom_site_fract_y
_atom_site_fract_z
_atom_site_occupancy
Tl1 Tl 0.0000 0.0000 0.0000 1
Cd1 Cd 0.0000 0.5000 0.5000 1
S1 S 0.5000 0.5000 0.5000 1
Cl1 Cl 0.5000 0.5000 0.0000 1
# Calculated total energy: -2.274 eV/atom
# Calculated volume: 165 Å³ per cell

# BaMoW2 PBEsol relaxed
data_BaMoW2
_chemical_formula_sum 'Ba2 Mo2 W4'
_cell_length_a 3.2763
_cell_length_b 4.7493
_cell_length_c 10.0384
_cell_angle_alpha 90.00
_cell_angle_beta 90.00
_cell_angle_gamma 90.00
_space_group_name_H-M_alt 'C m m 2'
_space_group_IT_number 35
loop_
_space_group_symop_operation_xyz
'x,y,z'
'-x,-y,z'
'-x,y,z'
'x,-y,z'
'x+1/2,y+1/2,z'
'-x+1/2,-y+1/2,z'
'-x+1/2,y+1/2,z'
'x+1/2,-y+1/2,z'
loop_
_atom_site_label
_atom_site_type_symbol
_atom_site_fract_x
_atom_site_fract_y
_atom_site_fract_z
_atom_site_occupancy
Ba1 Ba 0.0000 0.0000 0.0000 1
Mo1 Mo 0.0000 0.5000 0.7052 1
W1 W 0.0000 0.0000 0.5017 1
W2 W 0.0000 0.5000 0.2953 1
# ΔH_f (0 K): 0.874 eV/atom
# Calculated total energy: -9.509 eV/atom
# Distance to the lowest polymorph of the same formula: 18 meV/atom
# Calculated volume: 156 Å³ per cell

# CaCu6O8 PBEsol relaxed
data_CaCu6O8
_chemical_formula_sum 'Ca4 Cu24 O32'
_cell_length_a 9.1248
_cell_length_b 9.1248
_cell_length_c 9.1248
_cell_angle_alpha 90.00
_cell_angle_beta 90.00
_cell_angle_gamma 90.00
_space_group_name_H-M_alt 'F m -3 m'
_space_group_IT_number 225
_space_group_name_Hall '-F 4 2 3'
loop_
_atom_site_label
_atom_site_type_symbol
_atom_site_fract_x
_atom_site_fract_y
_atom_site_fract_z
_atom_site_occupancy
Ca1 Ca 0.0000 0.0000 0.0000 1
Cu1 Cu 0.0000 0.2500 0.2500 1
O1 O 0.1458 0.1458 0.1458 1
# Calculated total energy: -5.565 eV/atom
# Calculated volume: 760 Å³ per cell

# K2CaC2O6 PBEsol relaxed
data_K2CaC2O6
_chemical_formula_sum 'K6 Ca3 C6 O18'
_cell_length_a 5.3733
_cell_length_b 5.3733
_cell_length_c 17.9850
_cell_angle_alpha 90.00
_cell_angle_beta 90.00
_cell_angle_gamma 120.00
_space_group_name_H-M_alt 'R -3 m'
_space_group_IT_number 166
_space_group_name_Hall '-R 3 2"'
loop_
_atom_site_label
_atom_site_type_symbol
_atom_site_fract_x
_atom_site_fract_y
_atom_site_fract_z
_atom_site_occupancy
K1 K 0.0000 0.0000 0.2092 1
Ca1 Ca 0.0000 0.0000 0.0000 1
C1 C 0.0000 0.0000 0.4125 1
O1 O 0.0548 0.5274 0.2537 1
# Calculated total energy: -7.052 eV/atom
# Calculated volume: 450 Å³ per cell

# BaNb2BrO PBEsol relaxed
data_BaNb2BrO
_chemical_formula_sum 'Ba1 Nb2 Br1 O1'
_cell_length_a 5.6951
_cell_length_b 5.6951
_cell_length_c 5.8627
_cell_angle_alpha 90.00
_cell_angle_beta 90.00
_cell_angle_gamma 90.00
_space_group_name_H-M_alt 'P 4/m m m'
_space_group_IT_number 123
_space_group_name_Hall '-P 4 2'
loop_
_atom_site_label
_atom_site_type_symbol
_atom_site_fract_x
_atom_site_fract_y
_atom_site_fract_z
_atom_site_occupancy
Ba1 Ba 0.0000 0.0000 0.0000 1
Nb1 Nb 0.0000 0.5000 0.0000 1
Br1 Br 0.0000 0.0000 0.5000 1
O1 O 0.5000 0.5000 0.5000 1
# Calculated total energy: -3.607 eV/atom
# Calculated volume: 190 Å³ per cell

# Co2TcAs PBEsol relaxed
data_Co2TcAs
_chemical_formula_sum 'Co8 Tc4 As4'
_cell_length_a 5.7700
_cell_length_b 5.7700
_cell_length_c 5.7700
_cell_angle_alpha 90.00
_cell_angle_beta 90.00
_cell_angle_gamma 90.00
_space_group_name_H-M_alt 'F -4 3 m'
_space_group_IT_number 216
_space_group_name_Hall 'F -4 2 3'
loop_
_atom_site_label
_atom_site_type_symbol
_atom_site_fract_x
_atom_site_fract_y
_atom_site_fract_z
_atom_site_occupancy
Co1 Co 0.0000 0.0000 0.0000 1
Co2 Co 0.2500 0.2500 0.2500 1
Tc1 Tc 0.0000 0.0000 0.5000 1
As1 As 0.2500 0.2500 0.7500 1
# ΔH_f (0 K): 0.051 eV/atom
# Calculated total energy: -7.910 eV/atom
# Calculated volume: 192 Å³ per cell

# SiTcSb2I PBEsol relaxed
data_SiTcSb2I
_chemical_formula_sum 'Si1 Tc1 Sb2 I1'
_cell_length_a 4.9745
_cell_length_b 4.9745
_cell_length_c 5.6203
_cell_angle_alpha 90.00
_cell_angle_beta 90.00
_cell_angle_gamma 90.00
_space_group_name_H-M_alt 'P 4/m m m'
_space_group_IT_number 123
_space_group_name_Hall '-P 4 2'
loop_
_atom_site_label
_atom_site_type_symbol
_atom_site_fract_x
_atom_site_fract_y
_atom_site_fract_z
_atom_site_occupancy
Si1 Si 0.0000 0.0000 0.0000 1
Tc1 Tc 0.5000 0.5000 0.5000 1
Sb1 Sb 0.0000 0.5000 0.5000 1
I1 I 0.5000 0.5000 0.0000 1
# Calculated total energy: -4.718 eV/atom
# Calculated volume: 139 Å³ per cell